Density functional theory data (GGA-PBE) for a geometry-optimized Si2TcSnRu structure.

Cell and atoms, written as CIF:
```
data_Si2TcSnRu
_symmetry_space_group_name_H-M 'P 1'
_symmetry_Int_Tables_number 1
_cell_length_a 4.512
_cell_length_b 4.512
_cell_length_c 5.041
_cell_angle_alpha 90.00
_cell_angle_beta 90.00
_cell_angle_gamma 90.00
loop_
_symmetry_equiv_pos_as_xyz
'x,y,z'
loop_
_atom_site_label
_atom_site_type_symbol
_atom_site_fract_x
_atom_site_fract_y
_atom_site_fract_z
Si1 Si 0.000 0.500 0.000
Si2 Si 0.500 0.000 0.000
Tc1 Tc 0.000 0.000 0.500
Sn1 Sn 0.500 0.500 0.500
Ru1 Ru 0.000 0.000 0.000
```

Values from the calculation:
formation energy without anion corrections: 0.7135 eV per atom
calculated density: 6052 kg/m3



Density functional theory data (GGA-PBE) for a geometry-optimized CdAsPtBr2 structure.

Cell and atoms, written as CIF:
```
data_CdAsPtBr2
_symmetry_space_group_name_H-M 'P 1'
_symmetry_Int_Tables_number 1
_cell_length_a 5.341
_cell_length_b 5.341
_cell_length_c 4.799
_cell_angle_alpha 90.00
_cell_angle_beta 90.00
_cell_angle_gamma 90.00
loop_
_symmetry_equiv_pos_as_xyz
'x,y,z'
loop_
_atom_site_label
_atom_site_type_symbol
_atom_site_fract_x
_atom_site_fract_y
_atom_site_fract_z
Cd1 Cd 0.000 0.000 0.000
As1 As 0.500 0.500 0.000
Pt1 Pt 0.500 0.500 0.500
Br1 Br 0.000 0.500 0.500
Br2 Br 0.500 0.000 0.500
```

Values from the calculation:
formation energy without anion corrections: 0.1589 eV per atom
calculated density: 6578 kg/m3
excess energy over the best structure of this formula in the dataset: 0 meV/atom



Density functional theory data (GGA-PBE) for a geometry-optimized RbTl2Sn2Pb structure.

Cell and atoms, written as CIF:
```
data_RbTl2Sn2Pb
_symmetry_space_group_name_H-M 'P 1'
_symmetry_Int_Tables_number 1
_cell_length_a 5.447
_cell_length_b 5.447
_cell_length_c 8.127
_cell_angle_alpha 90.00
_cell_angle_beta 90.00
_cell_angle_gamma 120.00
loop_
_symmetry_equiv_pos_as_xyz
'x,y,z'
loop_
_atom_site_label
_atom_site_type_symbol
_atom_site_fract_x
_atom_site_fract_y
_atom_site_fract_z
Rb1 Rb 0.000 0.000 0.000
Tl1 Tl 0.333 0.667 0.743
Tl2 Tl 0.667 0.333 0.257
Sn1 Sn 0.333 0.667 0.346
Sn2 Sn 0.667 0.333 0.654
Pb1 Pb 0.000 0.000 0.500
```

Values from the calculation:
calculated density: 7468 kg/m3
formation energy from the elements: -46 meV per atom



Density functional theory data (GGA-PBE) for a geometry-optimized Tb3SmRh structure.

Cell and atoms, written as CIF:
```
data_Tb3SmRh
_symmetry_space_group_name_H-M 'P 1'
_symmetry_Int_Tables_number 1
_cell_length_a 5.440
_cell_length_b 5.440
_cell_length_c 5.440
_cell_angle_alpha 90.00
_cell_angle_beta 90.00
_cell_angle_gamma 90.00
loop_
_symmetry_equiv_pos_as_xyz
'x,y,z'
loop_
_atom_site_label
_atom_site_type_symbol
_atom_site_fract_x
_atom_site_fract_y
_atom_site_fract_z
Tb1 Tb 0.000 0.000 0.500
Tb2 Tb 0.000 0.500 0.000
Tb3 Tb 0.500 0.000 0.000
Sm1 Sm 0.500 0.500 0.500
Rh1 Rh 0.000 0.000 0.000
```

Values from the calculation:
calculated density: 7528 kg/m3
excess energy over the best structure of this formula in the dataset: 63 meV/atom
formation energy from the elements: -220 meV per atom



Density functional theory data (GGA-PBE) for a geometry-optimized Cd2TcHg structure.

Cell and atoms, written as CIF:
```
data_Cd2TcHg
_symmetry_space_group_name_H-M 'P 1'
_symmetry_Int_Tables_number 1
_cell_length_a 2.897
_cell_length_b 4.374
_cell_length_c 6.068
_cell_angle_alpha 90.00
_cell_angle_beta 90.18
_cell_angle_gamma 90.00
loop_
_symmetry_equiv_pos_as_xyz
'x,y,z'
loop_
_atom_site_label
_atom_site_type_symbol
_atom_site_fract_x
_atom_site_fract_y
_atom_site_fract_z
Cd1 Cd 0.000 0.000 0.000
Cd2 Cd 0.499 0.500 0.264
Tc1 Tc 0.000 0.000 0.493
Hg1 Hg 0.501 0.500 0.733
```

Values from the calculation:
calculated density: 11304 kg/m3
formation energy from the elements: 435 meV per atom



Density functional theory data (GGA-PBE) for a geometry-optimized DyYZn2 structure.

Cell and atoms, written as CIF:
```
data_DyYZn2
_symmetry_space_group_name_H-M 'P 1'
_symmetry_Int_Tables_number 1
_cell_length_a 5.044
_cell_length_b 5.044
_cell_length_c 3.591
_cell_angle_alpha 90.00
_cell_angle_beta 90.00
_cell_angle_gamma 90.00
loop_
_symmetry_equiv_pos_as_xyz
'x,y,z'
loop_
_atom_site_label
_atom_site_type_symbol
_atom_site_fract_x
_atom_site_fract_y
_atom_site_fract_z
Dy1 Dy 0.000 0.000 0.000
Y1 Y 0.500 0.500 0.000
Zn1 Zn 0.000 0.500 0.500
Zn2 Zn 0.500 0.000 0.500
```

Values from the calculation:
calculated density: 6947 kg/m3
excess energy over the best structure of this formula in the dataset: 4 meV/atom
formation energy from the elements: -351 meV per atom



Density functional theory data (GGA-PBE) for a geometry-optimized BeVSn3 structure.

Cell and atoms, written as CIF:
```
data_BeVSn3
_symmetry_space_group_name_H-M 'P 1'
_symmetry_Int_Tables_number 1
_cell_length_a 4.885
_cell_length_b 4.885
_cell_length_c 4.885
_cell_angle_alpha 90.00
_cell_angle_beta 90.00
_cell_angle_gamma 90.00
loop_
_symmetry_equiv_pos_as_xyz
'x,y,z'
loop_
_atom_site_label
_atom_site_type_symbol
_atom_site_fract_x
_atom_site_fract_y
_atom_site_fract_z
Be1 Be 0.000 0.000 0.000
V1 V 0.500 0.500 0.500
Sn1 Sn 0.000 0.000 0.500
Sn2 Sn 0.000 0.500 0.000
Sn3 Sn 0.500 0.000 0.000
```

Values from the calculation:
calculated density: 5929 kg/m3
formation energy from the elements: 719 meV per atom



Density functional theory data (GGA-PBE) for a geometry-optimized Sr2Zn3CuGe4 structure.

Cell and atoms, written as CIF:
```
data_Sr2Zn3CuGe4
_symmetry_space_group_name_H-M 'P 1'
_symmetry_Int_Tables_number 1
_cell_length_a 4.388
_cell_length_b 4.388
_cell_length_c 10.613
_cell_angle_alpha 90.00
_cell_angle_beta 90.00
_cell_angle_gamma 90.00
loop_
_symmetry_equiv_pos_as_xyz
'x,y,z'
loop_
_atom_site_label
_atom_site_type_symbol
_atom_site_fract_x
_atom_site_fract_y
_atom_site_fract_z
Sr1 Sr 0.000 0.500 0.242
Sr2 Sr 0.500 0.000 0.758
Zn1 Zn 0.000 0.000 0.000
Zn2 Zn 0.000 0.500 0.637
Zn3 Zn 0.500 0.000 0.363
Cu1 Cu 0.500 0.500 0.000
Ge1 Ge 0.000 0.000 0.500
Ge2 Ge 0.000 0.500 0.874
Ge3 Ge 0.500 0.000 0.126
Ge4 Ge 0.500 0.500 0.500
```

Values from the calculation:
calculated density: 5897 kg/m3
formation energy from the elements: -361 meV per atom



Density functional theory data (GGA-PBE) for a geometry-optimized Pm2Pu3Ir2 structure.

Cell and atoms, written as CIF:
```
data_Pm2Pu3Ir2
_symmetry_space_group_name_H-M 'P 1'
_symmetry_Int_Tables_number 1
_cell_length_a 11.484
_cell_length_b 4.917
_cell_length_c 6.626
_cell_angle_alpha 90.00
_cell_angle_beta 112.15
_cell_angle_gamma 90.00
loop_
_symmetry_equiv_pos_as_xyz
'x,y,z'
loop_
_atom_site_label
_atom_site_type_symbol
_atom_site_fract_x
_atom_site_fract_y
_atom_site_fract_z
Pm1 Pm 0.154 0.000 0.306
Pm2 Pm 0.346 0.500 0.694
Pm3 Pm 0.654 0.500 0.306
Pm4 Pm 0.846 0.000 0.694
Pu1 Pu 0.000 0.500 0.500
Pu2 Pu 0.133 0.500 0.978
Pu3 Pu 0.367 0.000 0.022
Pu4 Pu 0.500 0.000 0.500
Pu5 Pu 0.633 0.000 0.978
Pu6 Pu 0.867 0.500 0.022
Ir1 Ir 0.122 0.000 0.747
Ir2 Ir 0.378 0.500 0.253
Ir3 Ir 0.622 0.500 0.747
Ir4 Ir 0.878 0.000 0.253
```

Values from the calculation:
calculated density: 13478 kg/m3
formation energy from the elements: -290 meV per atom



Density functional theory data (GGA-PBE) for a geometry-optimized Ta4PbSe structure.

Cell and atoms, written as CIF:
```
data_Ta4PbSe
_symmetry_space_group_name_H-M 'P 1'
_symmetry_Int_Tables_number 1
_cell_length_a 5.601
_cell_length_b 5.601
_cell_length_c 5.601
_cell_angle_alpha 60.00
_cell_angle_beta 60.00
_cell_angle_gamma 60.00
loop_
_symmetry_equiv_pos_as_xyz
'x,y,z'
loop_
_atom_site_label
_atom_site_type_symbol
_atom_site_fract_x
_atom_site_fract_y
_atom_site_fract_z
Ta1 Ta 0.124 0.124 0.124
Ta2 Ta 0.124 0.124 0.627
Ta3 Ta 0.124 0.627 0.124
Ta4 Ta 0.627 0.124 0.124
Pb1 Pb 0.750 0.750 0.750
Se1 Se 0.500 0.500 0.500
```

Values from the calculation:
formation energy without anion corrections: 0.5820 eV per atom
calculated density: 13497 kg/m3